No. 1
Density functional theory data (SCAN) for a crystal of AlCdAg2 relaxed with PBEsol.

Calculated values
For the size of the total moment, the calculation gives 0.0 μB/cell. The total energy comes out at -25.261 eV/atom. The calculation puts the formation energy at -36 meV/atom.

Cell lengths 4.019, 4.019, 8.397 Å; angles 90.00, 90.00, 90.00 degrees
Atoms (fractional coordinates):
Al 0.000 0.000 0.000
Al 0.500 0.500 0.500
Cd 0.000 0.500 0.250
Cd 0.500 0.000 0.750
Ag 0.000 0.000 0.500
Ag 0.000 0.500 0.750
Ag 0.500 0.000 0.250
Ag 0.500 0.500 0.000

=====

No. 2
Density functional theory data (SCAN) for a crystal of AlCdAg2 relaxed with PBEsol.

Calculated values
For the size of the total moment, the calculation gives 0.0 μB/cell. The total energy comes out at -25.300 eV/atom. The calculation puts the formation energy at -75 meV/atom.

Cell lengths 2.950, 2.950, 27.192 Å; angles 90.00, 90.00, 120.00 degrees
Atoms (fractional coordinates):
Al 0.000 0.000 0.000
Al 0.333 0.667 0.667
Al 0.667 0.333 0.333
Cd 0.000 0.000 0.500
Cd 0.333 0.667 0.167
Cd 0.667 0.333 0.833
Ag 0.000 0.000 0.255
Ag 0.000 0.000 0.745
Ag 0.333 0.667 0.412
Ag 0.333 0.667 0.922
Ag 0.667 0.333 0.078
Ag 0.667 0.333 0.588

=====

No. 3
Density functional theory data (SCAN) for a crystal of AlAgCl relaxed with PBEsol.

Calculated values
For the size of the total moment, the calculation gives 0.0 μB/cell. The total energy comes out at -16.012 eV/atom. The value obtained for the uncorrected formation energy is -313 meV per atom.

Cell lengths 3.223, 3.223, 6.418 Å; angles 90.00, 90.00, 120.00 degrees
Atoms (fractional coordinates):
Al 0.000 0.000 0.000
Ag 0.667 0.333 0.276
Cl 0.333 0.667 0.735

=====

No. 4
Density functional theory data (SCAN) for a crystal of Al3AgCl relaxed with PBEsol.

Calculated values
For the size of the total moment, the calculation gives 0.0 μB/cell. The total energy comes out at -12.362 eV/atom. The value obtained for the uncorrected formation energy is 158 meV per atom.

Cell lengths 4.867, 4.867, 4.867 Å; angles 90.00, 90.00, 90.00 degrees
Atoms (fractional coordinates):
Al 0.000 0.000 0.500
Al 0.000 0.500 0.000
Al 0.500 0.000 0.000
Ag 0.000 0.000 0.000
Cl 0.500 0.500 0.500

=====

No. 5
Density functional theory data (SCAN) for a crystal of AlAg2Cl relaxed with PBEsol.

Calculated values
For the size of the total moment, the calculation gives 0.0 μB/cell. The total energy comes out at -19.697 eV/atom. The value obtained for the uncorrected formation energy is -81 meV per atom.

Cell lengths 2.994, 5.116, 9.355 Å; angles 90.00, 90.00, 90.00 degrees
Atoms (fractional coordinates):
Al 0.000 0.000 0.000
Al 0.500 0.500 0.500
Ag 0.000 0.500 0.266
Ag 0.000 0.500 0.734
Ag 0.500 0.000 0.234
Ag 0.500 0.000 0.766
Cl 0.000 0.000 0.500
Cl 0.500 0.500 0.000

=====

No. 6
Density functional theory data (SCAN) for a crystal of K2AlAgCl6 relaxed with PBEsol.

Calculated values
For the size of the total moment, the calculation gives 0.0 μB/cell. The total energy comes out at -12.042 eV/atom. The value obtained for the uncorrected formation energy is -1678 meV per atom.

Cell lengths 7.011, 7.011, 7.011 Å; angles 60.00, 60.00, 60.00 degrees
Atoms (fractional coordinates):
K 0.250 0.250 0.250
K 0.750 0.750 0.750
Al 0.000 0.000 0.000
Ag 0.500 0.500 0.500
Cl 0.234 0.234 0.766
Cl 0.234 0.766 0.234
Cl 0.234 0.766 0.766
Cl 0.766 0.234 0.234
Cl 0.766 0.234 0.766
Cl 0.766 0.766 0.234

=====

No. 7
Density functional theory data (SCAN) for a crystal of Al2AgCl5O relaxed with PBEsol.

Calculated values
For the size of the total moment, the calculation gives 0.0 μB/cell. The total energy comes out at -12.099 eV/atom. The value obtained for the uncorrected formation energy is -1766 meV per atom.

Cell lengths 11.244, 12.315, 12.917 Å; angles 90.00, 90.00, 90.00 degrees
Atoms (fractional coordinates):
Al 0.012 0.107 0.000
Al 0.012 0.393 0.500
Al 0.209 0.536 0.360
Al 0.209 0.964 0.860
Al 0.291 0.036 0.360
Al 0.291 0.464 0.860
Al 0.488 0.607 0.000
Al 0.488 0.893 0.500
Al 0.512 0.107 0.500
Al 0.512 0.393 0.000
Al 0.709 0.536 0.140
Al 0.709 0.964 0.640
Al 0.791 0.036 0.140
Al 0.791 0.464 0.640
Al 0.988 0.607 0.500
Al 0.988 0.893 0.000
Ag 0.021 0.657 0.802
Ag 0.021 0.843 0.302
Ag 0.479 0.157 0.802
Ag 0.479 0.343 0.302
Ag 0.521 0.657 0.698
Ag 0.521 0.843 0.198
Ag 0.979 0.157 0.698
Ag 0.979 0.343 0.198
Cl 0.061 0.713 0.613
Cl 0.061 0.787 0.113
Cl 0.114 0.190 0.114
Cl 0.114 0.310 0.614
Cl 0.126 0.523 0.923
Cl 0.126 0.977 0.423
Cl 0.176 0.035 0.712
Cl 0.176 0.465 0.212
Cl 0.216 0.710 0.356
Cl 0.216 0.790 0.856
Cl 0.284 0.210 0.356
Cl 0.284 0.290 0.856
Cl 0.324 0.535 0.712
Cl 0.324 0.965 0.212
Cl 0.374 0.023 0.923
Cl 0.374 0.477 0.423
Cl 0.386 0.690 0.114
Cl 0.386 0.810 0.614
Cl 0.439 0.213 0.613
Cl 0.439 0.287 0.113
Cl 0.561 0.713 0.887
Cl 0.561 0.787 0.387
Cl 0.614 0.190 0.386
Cl 0.614 0.310 0.886
Cl 0.626 0.523 0.577
Cl 0.626 0.977 0.077
Cl 0.676 0.035 0.788
Cl 0.676 0.465 0.288
Cl 0.716 0.710 0.144
Cl 0.716 0.790 0.644
Cl 0.784 0.210 0.144
Cl 0.784 0.290 0.644
Cl 0.824 0.535 0.788
Cl 0.824 0.965 0.288
Cl 0.874 0.023 0.577
Cl 0.874 0.477 0.077
Cl 0.886 0.690 0.386
Cl 0.886 0.810 0.886
Cl 0.939 0.213 0.887
Cl 0.939 0.287 0.387
O 0.089 0.508 0.445
O 0.089 0.992 0.945
O 0.411 0.008 0.445
O 0.411 0.492 0.945
O 0.589 0.508 0.055
O 0.589 0.992 0.555
O 0.911 0.008 0.055
O 0.911 0.492 0.555

=====

No. 8
Density functional theory data (SCAN) for a crystal of Rb2AlAgCl6 relaxed with PBEsol.

Calculated values
For the size of the total moment, the calculation gives 0.0 μB/cell. The total energy comes out at -14.560 eV/atom. The value obtained for the uncorrected formation energy is -1713 meV per atom.

Cell lengths 7.055, 7.055, 7.055 Å; angles 60.00, 60.00, 60.00 degrees
Atoms (fractional coordinates):
Rb 0.250 0.250 0.250
Rb 0.750 0.750 0.750
Al 0.000 0.000 0.000
Ag 0.500 0.500 0.500
Cl 0.234 0.234 0.766
Cl 0.234 0.766 0.234
Cl 0.234 0.766 0.766
Cl 0.766 0.234 0.234
Cl 0.766 0.234 0.766
Cl 0.766 0.766 0.234

=====

No. 9
Density functional theory data (SCAN) for a crystal of AlCo2Ag relaxed with PBEsol.

Calculated values
For the size of the total moment, the calculation gives 10.5 μB/cell. The total energy comes out at -18.320 eV/atom. The calculation puts the formation energy at 112 meV/atom.

Cell lengths 2.683, 2.683, 25.018 Å; angles 90.00, 90.00, 120.00 degrees
Atoms (fractional coordinates):
Al 0.000 0.000 0.000
Al 0.333 0.667 0.667
Al 0.667 0.333 0.333
Co 0.000 0.000 0.256
Co 0.000 0.000 0.517
Co 0.333 0.667 0.183
Co 0.333 0.667 0.923
Co 0.667 0.333 0.589
Co 0.667 0.333 0.850
Ag 0.000 0.000 0.760
Ag 0.333 0.667 0.426
Ag 0.667 0.333 0.093

=====

No. 10
Density functional theory data (SCAN) for a crystal of Al2CoAg relaxed with PBEsol.

Calculated values
For the size of the total moment, the calculation gives 0.0 μB/cell. The total energy comes out at -16.154 eV/atom. The calculation puts the formation energy at -111 meV/atom. The value obtained for the energy above the lowest structure with this stoichiometry is 267 meV/atom.

Cell lengths 2.896, 3.540, 5.434 Å; angles 90.00, 90.00, 90.00 degrees
Atoms (fractional coordinates):
Al 0.000 0.000 0.000
Al 0.500 0.500 0.292
Co 0.000 0.000 0.453
Ag 0.500 0.500 0.761

=====

No. 11
Density functional theory data (SCAN) for a crystal of AlCo2Ag relaxed with PBEsol.

Calculated values
For the size of the total moment, the calculation gives 1.9 μB/cell. The total energy comes out at -18.348 eV/atom. The calculation puts the formation energy at 84 meV/atom.

Cell lengths 2.827, 2.827, 6.201 Å; angles 90.00, 90.00, 90.00 degrees
Atoms (fractional coordinates):
Al 0.000 0.000 0.000
Co 0.500 0.500 0.220
Co 0.500 0.500 0.780
Ag 0.000 0.000 0.500

=====

No. 12
Density functional theory data (SCAN) for a crystal of Al2CoAg relaxed with PBEsol.

Calculated values
For the size of the total moment, the calculation gives 0.0 μB/cell. The total energy comes out at -15.963 eV/atom. The calculation puts the formation energy at 81 meV/atom. The value obtained for the energy above the lowest structure with this stoichiometry is 459 meV/atom.

Cell lengths 6.049, 6.049, 6.049 Å; angles 90.00, 90.00, 90.00 degrees
Atoms (fractional coordinates):
Al 0.000 0.000 0.000
Al 0.000 0.500 0.500
Al 0.250 0.250 0.250
Al 0.250 0.750 0.750
Al 0.500 0.000 0.500
Al 0.500 0.500 0.000
Al 0.750 0.250 0.750
Al 0.750 0.750 0.250
Co 0.000 0.000 0.500
Co 0.000 0.500 0.000
Co 0.500 0.000 0.000
Co 0.500 0.500 0.500
Ag 0.250 0.250 0.750
Ag 0.250 0.750 0.250
Ag 0.750 0.250 0.250
Ag 0.750 0.750 0.750

=====

What did the second record say?
Density functional theory data (SCAN) for a crystal of AlCdAg2 relaxed with PBEsol.

Calculated values
For the size of the total moment, the calculation gives 0.0 μB/cell. The total energy comes out at -25.300 eV/atom. The calculation puts the formation energy at -75 meV/atom.

Cell lengths 2.950, 2.950, 27.192 Å; angles 90.00, 90.00, 120.00 degrees
Atoms (fractional coordinates):
Al 0.000 0.000 0.000
Al 0.333 0.667 0.667
Al 0.667 0.333 0.333
Cd 0.000 0.000 0.500
Cd 0.333 0.667 0.167
Cd 0.667 0.333 0.833
Ag 0.000 0.000 0.255
Ag 0.000 0.000 0.745
Ag 0.333 0.667 0.412
Ag 0.333 0.667 0.922
Ag 0.667 0.333 0.078
Ag 0.667 0.333 0.588

=====

What is the size of the total moment in the eighth record? 0.0 μB/cell